[1]
4
Lattice="0.0000 3.1487 3.1487 3.1487 0.0000 3.1487 3.1487 3.1487 0.0000" Properties=species:S:1:pos:R:3 comment="Zn2GePt (PBE, optimized geometry)" crystal_system=cubic pbc="T T T"
Zn 0.0000 0.0000 0.0000
Zn 1.5744 1.5744 1.5744
Ge 3.1487 3.1487 3.1487
Pt 4.7231 4.7231 4.7231


[2]
4
Lattice="0.0000 3.2208 3.2208 3.2208 0.0000 3.2208 3.2208 3.2208 0.0000" Properties=species:S:1:pos:R:3 comment="YZnCoMo (PBE, optimized geometry)" crystal_system=cubic ef_kj_per_mol_atoms=40.62 pbc="T T T"
Y 0.0000 0.0000 0.0000
Zn 1.6104 1.6104 1.6104
Co 3.2208 3.2208 3.2208
Mo 4.8312 4.8312 4.8312


[3]
32
Lattice="7.0607 0.0000 0.0000 0.0000 8.6592 0.0000 0.0000 0.0000 13.2628" Properties=species:S:1:pos:R:3 comment="CdSnTeO (PBE, optimized geometry)" crystal_system=orthorhombic pbc="T T T"
Cd 0.5899 1.6720 1.0381
Cd 0.5899 2.6576 7.6695
Cd 2.9405 6.0016 1.0381
Cd 2.9405 6.9872 7.6695
Cd 4.1202 1.6720 5.5933
Cd 4.1202 2.6576 12.2247
Cd 6.4708 6.0016 5.5933
Cd 6.4708 6.9872 12.2247
Sn 1.2019 4.5975 9.8608
Sn 1.2019 8.3914 3.2293
Sn 2.3284 0.2679 9.8608
Sn 2.3284 4.0617 3.2293
Sn 4.7323 4.5975 10.0335
Sn 4.7323 8.3914 3.4021
Sn 5.8587 0.2679 10.0335
Sn 5.8587 4.0617 3.4021
Te 1.6141 0.5238 6.0789
Te 1.6141 3.8058 12.7104
Te 1.9162 4.8534 6.0789
Te 1.9162 8.1354 12.7104
Te 5.1444 0.5238 0.5525
Te 5.1444 3.8058 7.1839
Te 5.4466 4.8534 0.5525
Te 5.4466 8.1354 7.1839
O 0.5391 1.4565 9.6851
O 0.5391 2.8731 3.0537
O 2.9913 5.7861 9.6851
O 2.9913 7.2027 3.0537
O 4.0694 1.4565 10.2091
O 4.0694 2.8731 3.5777
O 6.5216 5.7861 10.2091
O 6.5216 7.2027 3.5777


[4]
125
Lattice="0.0000 10.4121 10.4121 10.4121 0.0000 10.4121 10.4121 10.4121 0.0000" Properties=species:S:1:pos:R:3 comment="SnAu124 (PBE, optimized geometry)" crystal_system=cubic pbc="T T T"
Sn 0.0000 0.0000 0.0000
Au 2.1038 2.1038 0.0000
Au 4.1732 4.1732 0.0000
Au 6.2389 6.2389 0.0000
Au 8.3083 8.3083 0.0000
Au 4.1745 2.0872 2.0872
Au 6.2481 4.1641 2.0840
Au 8.3249 6.2377 2.0872
Au 2.1038 0.0000 2.1038
Au 10.4121 8.3083 2.1038
Au 6.2481 2.0840 4.1641
Au 8.3281 4.1641 4.1641
Au 4.1732 0.0000 4.1732
Au 10.4121 6.2389 4.1732
Au 12.4994 8.3249 4.1745
Au 6.2389 0.0000 6.2389
Au 8.3249 2.0872 6.2377
Au 10.4121 4.1732 6.2389
Au 12.4962 16.6602 16.6602
Au 14.5762 18.7402 16.6602
Au 8.3083 0.0000 8.3083
Au 10.4121 2.1038 8.3083
Au 12.4994 4.1745 8.3249
Au 14.5762 16.6602 18.7402
Au 16.6498 8.3249 8.3249
Au 2.0872 4.1745 2.0872
Au 4.1641 6.2481 2.0840
Au 6.2377 8.3249 2.0872
Au 2.0872 2.0872 4.1745
Au 4.1668 4.1668 4.1668
Au 6.2453 6.2453 4.1668
Au 8.3249 8.3249 4.1745
Au 4.1641 2.0840 6.2481
Au 6.2453 4.1668 6.2453
Au 8.3281 6.2481 6.2481
Au 10.4121 8.3289 6.2511
Au 12.4954 10.4121 6.2511
Au 6.2377 2.0872 8.3249
Au 8.3249 4.1745 8.3249
Au 10.4121 6.2511 8.3289
Au 12.4941 8.3301 8.3301
Au 14.5732 10.4121 8.3289
Au 12.4954 6.2511 10.4121
Au 14.5732 8.3289 10.4121
Au 10.4121 10.4121 4.1758
Au 10.4121 4.1758 10.4121
Au 16.6485 10.4121 10.4121
Au 0.0000 2.1038 2.1038
Au 8.3083 10.4121 2.1038
Au 8.3083 2.1038 10.4121
Au 2.0840 6.2481 4.1641
Au 4.1641 8.3281 4.1641
Au 2.0840 4.1641 6.2481
Au 4.1668 6.2453 6.2453
Au 6.2481 8.3281 6.2481
Au 8.3289 10.4121 6.2511
Au 10.4121 12.4954 6.2511
Au 4.1641 4.1641 8.3281
Au 6.2481 6.2481 8.3281
Au 8.3301 8.3301 8.3301
Au 10.4121 10.4121 8.3312
Au 12.4941 12.4941 8.3301
Au 8.3289 6.2511 10.4121
Au 10.4121 8.3312 10.4121
Au 12.4930 10.4121 10.4121
Au 14.5732 12.4954 10.4121
Au 10.4121 6.2511 12.4954
Au 12.4941 8.3301 12.4941
Au 14.5732 10.4121 12.4954
Au 0.0000 4.1732 4.1732
Au 6.2389 10.4121 4.1732
Au 8.3249 12.4994 4.1745
Au 6.2389 4.1732 10.4121
Au 8.3249 4.1745 12.4994
Au 16.6498 12.4994 12.4994
Au 0.0000 6.2389 6.2389
Au 2.0872 8.3249 6.2377
Au 4.1732 10.4121 6.2389
Au 2.0872 6.2377 8.3249
Au 4.1745 8.3249 8.3249
Au 4.1732 6.2389 10.4121
Au 16.6602 12.4962 16.6602
Au 18.7402 14.5762 16.6602
Au 6.2511 10.4121 8.3289
Au 8.3301 12.4941 8.3301
Au 10.4121 14.5732 8.3289
Au 6.2511 8.3289 10.4121
Au 8.3312 10.4121 10.4121
Au 10.4121 12.4930 10.4121
Au 12.4954 14.5732 10.4121
Au 16.6602 16.6602 12.4962
Au 8.3301 8.3301 12.4941
Au 10.4121 10.4121 12.4930
Au 12.4941 12.4941 12.4941
Au 14.5762 14.5762 12.4962
Au 18.7402 16.6602 14.5762
Au 10.4121 8.3289 14.5732
Au 12.4954 10.4121 14.5732
Au 14.5762 12.4962 14.5762
Au 16.6575 14.5789 14.5789
Au 0.0000 8.3083 8.3083
Au 2.1038 10.4121 8.3083
Au 2.1038 8.3083 10.4121
Au 4.1758 10.4121 10.4121
Au 10.4121 16.6485 10.4121
Au 10.4121 10.4121 16.6485
Au 4.1745 12.4994 8.3249
Au 16.6602 14.5762 18.7402
Au 8.3249 16.6498 8.3249
Au 6.2511 12.4954 10.4121
Au 8.3289 14.5732 10.4121
Au 6.2511 10.4121 12.4954
Au 8.3301 12.4941 12.4941
Au 10.4121 14.5732 12.4954
Au 4.1745 8.3249 12.4994
Au 12.4994 16.6498 12.4994
Au 16.6602 18.7402 14.5762
Au 8.3289 10.4121 14.5732
Au 10.4121 12.4954 14.5732
Au 12.4962 14.5762 14.5762
Au 14.5789 16.6575 14.5789
Au 8.3249 8.3249 16.6498
Au 12.4994 12.4994 16.6498
Au 14.5789 14.5789 16.6575
Au 16.6575 16.6575 16.6575


[5]
8
Lattice="3.2476 0.0000 0.0000 -1.6238 2.8125 0.0000 0.0000 0.0000 12.2759" Properties=species:S:1:pos:R:3 comment="Nb4CuC2S (PBE, optimized geometry)" crystal_system=hexagonal pbc="T T T"
Nb 0.0000 0.0000 1.7805
Nb 0.0000 0.0000 10.4954
Nb 1.6238 0.9375 4.1103
Nb 1.6238 0.9375 8.1656
Cu 0.0000 0.0000 6.1380
C 0.0000 1.8750 3.0122
C 0.0000 1.8750 9.2637
S 1.6238 0.9375 0.0000


[6]
16
Lattice="4.7378 -8.8845 0.0000 4.7378 8.8845 0.0000 0.0000 0.0000 5.4463" Properties=species:S:1:pos:R:3 comment="CdHgSBr (PBE, optimized geometry)" crystal_system=orthorhombic pbc="T T T"
Cd 2.2907 2.5222 0.0000
Cd 2.2907 -2.5222 0.0000
Cd 7.1849 2.5222 0.0000
Cd 7.1849 -2.5222 0.0000
Hg 1.3866 0.0000 2.7232
Hg 4.7378 2.2604 2.7232
Hg 4.7378 -2.2604 2.7232
Hg 8.0891 0.0000 2.7232
S 2.3670 2.3965 2.7232
S 2.3670 -2.3965 2.7232
S 7.1087 2.3965 2.7232
S 7.1087 -2.3965 2.7232
Br 0.0000 0.0000 0.0000
Br 4.7378 4.4632 0.0000
Br 4.7378 0.0000 0.0000
Br 4.7378 -4.4632 0.0000


[7]
4
Lattice="0.0000 3.0748 3.0748 3.0748 0.0000 3.0748 3.0748 3.0748 0.0000" Properties=species:S:1:pos:R:3 comment="BeNbAsW (PBE, optimized geometry)" crystal_system=cubic pbc="T T T"
Be 0.0000 0.0000 0.0000
Nb 1.5374 1.5374 1.5374
As 3.0748 3.0748 3.0748
W 4.6122 4.6122 4.6122


[8]
3
Lattice="0.0000 3.2827 3.2827 3.2827 0.0000 3.2827 3.2827 3.2827 0.0000" Properties=species:S:1:pos:R:3 comment="TbMgBe (PBE, optimized geometry)" crystal_system=cubic pbc="T T T"
Tb 0.0000 0.0000 0.0000
Mg 4.9241 4.9241 4.9241
Be 3.2827 3.2827 3.2827


[9]
42
Lattice="6.8893 0.0000 0.0000 -0.1763 7.1075 0.0000 -1.7763 -2.5885 11.3961" Properties=species:S:1:pos:R:3 comment="NaPr3Ge4O13 (PBE, optimized geometry)" crystal_system=triclinic pbc="T T T"
Na 0.1656 1.2568 3.9729
Na 4.7711 3.2622 7.4232
Pr -0.4368 4.9479 4.0278
Pr 0.2516 1.9394 9.8677
Pr 2.6228 6.4102 1.8985
Pr 2.3139 -1.8911 9.4976
Pr 4.6851 2.5797 1.5284
Pr 5.3735 -0.4288 7.3683
Ge -0.8296 -1.6214 10.2485
Ge 1.2710 2.8020 1.4080
Ge 0.9498 3.1192 6.7931
Ge 1.7550 0.1084 6.4495
Ge 3.1817 4.4107 4.9466
Ge 3.9869 1.3998 4.6030
Ge 3.6657 1.7170 9.9881
Ge 5.7663 6.1405 1.1477
O 0.2519 2.0611 0.1097
O -0.0379 3.0773 2.5342
O 0.2041 6.5672 2.2219
O 0.0794 3.1375 5.3240
O 0.3592 -0.7840 5.9030
O 0.2483 3.8997 8.1855
O 0.2041 -0.5100 9.3013
O 0.1114 4.2804 10.9137
O 0.9762 1.4177 7.4288
O 2.2392 4.1675 0.8362
O 2.0296 5.1912 3.9214
O 2.4897 1.6557 1.9056
O 2.2974 0.8868 4.9200
O 2.6393 3.6322 6.4761
O 2.4470 2.8634 9.4905
O 2.9071 -0.6722 7.4748
O 2.6976 0.3516 10.5600
O 3.9605 3.1014 3.9674
O 4.8253 0.2387 0.4824
O 4.7326 5.0291 2.0948
O 4.6884 0.6194 3.2106
O 4.5775 5.3031 5.4932
O 4.8573 1.3816 6.0721
O 4.7326 -2.0481 9.1743
O 4.9746 1.4418 8.8620
O 4.6848 2.4580 11.2864


Number 1: calculated density 10.60 Mg/m³, E_tot -3.387 eV per atom. Number 2: calculated density 7.68 Mg/m³, E_tot -6.000 eV per atom. Number 3: calculated density 6.14 Mg/m³, E_tot -3.866 eV per atom. Number 4: calculated density 18.05 Mg/m³, E_tot -3.280 eV per atom. Number 5: calculated density 7.28 Mg/m³, E_tot -8.826 eV per atom. Number 6: calculated density 6.16 Mg/m³, E_tot -2.009 eV per atom. Number 7: calculated density 10.30 Mg/m³, E_tot -7.636 eV per atom. Number 8: calculated density 4.51 Mg/m³, E_tot -2.653 eV per atom. Number 9: calculated density 5.62 Mg/m³, E_tot -7.052 eV per atom.